Record 1
DFT (GGA-PBE) results for a geometry-optimized ThCuSi2Rh5 structure.

```
ThCuSi2Rh5
1.0
-2.234 -1.836 -3.452
3.124 -3.229 -0.304
-3.794 -4.106 4.639
Th Cu Si Rh
1 1 2 5
direct
0.000 0.000 0.500
0.000 0.000 0.000
0.500 0.500 0.166
0.500 0.500 0.834
0.000 0.500 0.221
0.500 0.000 0.221
0.000 0.500 0.779
0.500 0.000 0.779
0.500 0.500 0.500
```

space group = No. 123
electronic total energy = -63.6 eV/f.u.

Record 2
DFT (GGA-PBE) results for a geometry-optimized Tb2PmS3 structure.

```
Tb2PmS3
1.0
3.659 0.000 -1.527
-1.085 4.841 -2.601
0.692 0.570 6.805
Tb Pm S
2 1 3
direct
0.164 0.664 0.327
0.836 0.336 0.673
0.500 0.000 0.000
0.500 0.500 0.000
0.173 0.173 0.345
0.827 0.827 0.655
```

space group = No. 71
electronic total energy = -38.5 eV/f.u.

Record 3
DFT (GGA-PBE) results for a geometry-optimized SiTcAu structure.

```
SiTcAu
1.0
6.774 0.000 0.000
5.917 2.735 -0.015
0.857 -0.959 2.561
Au Si Tc
1 1 1
direct
0.992 0.992 0.008
0.324 0.324 0.676
0.685 0.685 0.315
```

space group = No. 42
relative energy among the computed polymorphs = 291 meV/atom

Record 4
DFT (GGA-PBE) results for a geometry-optimized Fe2MoAsPb structure.

```
Fe2MoAsPb
1.0
-0.091 -3.518 -2.437
4.639 1.325 -2.085
2.010 -2.187 3.082
Pb Mo As Fe
1 1 1 2
direct
0.000 0.500 0.000
0.500 0.500 0.500
0.000 0.000 0.000
0.000 0.000 0.500
0.500 0.000 0.000
```

space group = No. 123
formation enthalpy at 0 K = 643 kJ/mol of formula units

Record 5
DFT (GGA-PBE) results for a geometry-optimized NaMn2CuS4 structure.

```
NaMn2CuS4
1.0
6.452 0.000 0.000
0.000 6.688 0.000
0.000 0.000 7.907
Na Mn Cu S
2 4 2 8
direct
0.004 0.169 0.500
0.504 0.831 0.000
0.497 0.335 0.252
0.497 0.335 0.748
0.997 0.665 0.752
0.997 0.665 0.248
0.506 0.819 0.500
0.006 0.181 0.000
0.359 0.218 0.000
0.859 0.782 0.500
0.438 0.155 0.500
0.938 0.845 0.000
0.350 0.647 0.716
0.850 0.353 0.216
0.850 0.353 0.784
0.350 0.647 0.284
```

space group = No. 31
electronic total energy = -44.8 eV/f.u.

Record 6
DFT (GGA-PBE) results for a geometry-optimized YIn2Ni structure.

```
YIn2Ni
1.0
-2.779 -2.799 -1.735
-1.070 -1.383 3.938
-3.335 3.176 0.212
In Ni Y
2 1 1
direct
0.000 0.000 0.000
0.500 0.500 0.000
0.500 0.000 0.500
0.000 0.500 0.500
```

space group = No. 123
formation enthalpy at 0 K = -85 kJ/mol of formula units

Record 7
DFT (GGA-PBE) results for a geometry-optimized K2LiPb structure.

```
K2LiPb
1.0
-5.392 0.570 4.119
-5.521 -3.117 -2.484
6.430 -1.133 1.933
K Li Pb
2 1 1
direct
0.025 0.025 0.000
0.729 0.229 0.500
0.451 0.451 0.000
0.294 0.794 0.500
```

space group = No. 44
formation enthalpy at 0 K = -30 kJ/mol of formula units

Record 8
DFT (GGA-PBE) results for a geometry-optimized ZnRu2 structure.

```
ZnRu2
1.0
2.660 0.000 0.000
0.000 4.233 0.000
0.000 0.000 16.636
Ru Zn
8 4
direct
0.000 0.250 0.036
0.000 0.250 0.186
0.000 0.750 0.814
0.000 0.750 0.964
0.500 0.250 0.314
0.500 0.250 0.464
0.500 0.750 0.536
0.500 0.750 0.686
0.000 0.250 0.627
0.000 0.750 0.373
0.500 0.250 0.873
0.500 0.750 0.127
```

space group = No. 74
formation enthalpy at 0 K = 114 kJ/mol of formula units

Record 9
DFT (GGA-PBE) results for a geometry-optimized Be2TlCo structure.

```
Be2TlCo
1.0
-0.629 1.424 -2.508
0.005 -2.566 -1.459
-5.819 -0.635 1.098
Be Tl Co
2 1 1
direct
0.000 0.000 0.072
0.500 0.500 0.264
0.500 0.500 0.747
0.000 0.000 0.418
```

space group = No. 99
relative energy among the computed polymorphs = 151 meV/atom
formation enthalpy at 0 K = 137 kJ/mol of formula units

Record 10
DFT (GGA-PBE) results for a geometry-optimized Ta2Mn3Ge structure.

```
Ta2Mn3Ge
1.0
-1.778 -4.415 -1.096
2.306 -4.018 1.549
-2.005 -2.768 3.511
Ta Mn Ge
2 3 1
direct
0.377 0.377 0.869
0.623 0.623 0.131
0.500 0.000 0.500
0.000 0.500 0.500
0.000 0.000 0.500
0.000 0.000 0.000
```

space group = No. 166
formation enthalpy at 0 K = -162 kJ/mol of formula units

Record 11
DFT (GGA-PBE) results for a geometry-optimized LaAsO4F structure.

```
LaAsO4F
1.0
6.257 -0.222 -0.003
1.863 5.977 -0.003
1.646 1.167 6.713
La As O F
2 2 8 2
direct
0.203 0.203 0.885
0.797 0.797 0.115
0.644 0.644 0.732
0.356 0.356 0.268
0.283 0.283 0.519
0.717 0.717 0.481
0.126 0.478 0.153
0.535 0.535 0.220
0.522 0.874 0.847
0.478 0.126 0.153
0.465 0.465 0.780
0.874 0.522 0.847
0.015 0.015 0.179
0.985 0.985 0.821
```

space group = No. 12
electronic total energy = -46.2 eV/f.u.

Record 12
DFT (GGA-PBE) results for a geometry-optimized SrZn3Cl structure.

```
SrZn3Cl
1.0
6.337 0.000 0.000
0.000 6.337 0.000
0.000 0.000 6.337
Sr Zn Cl
1 3 1
direct
0.000 0.000 0.000
0.000 0.500 0.000
0.000 0.000 0.500
0.500 0.000 0.000
0.500 0.500 0.500
```

space group = No. 221
relative energy among the computed polymorphs = 233 meV/atom

Record 13
DFT (GGA-PBE) results for a geometry-optimized Ba2BeReO6 structure.

```
Ba2BeReO6
1.0
-5.141 2.235 0.442
-2.667 -0.040 4.950
1.510 9.741 4.086
Ba Be Re O
4 2 2 12
direct
0.872 0.872 0.383
0.128 0.128 0.617
0.728 0.728 0.817
0.272 0.272 0.183
0.626 0.626 0.122
0.374 0.374 0.878
0.000 0.000 0.000
0.500 0.500 0.500
0.855 0.376 0.393
0.376 0.855 0.393
0.376 0.376 0.393
0.145 0.624 0.607
0.624 0.145 0.607
0.624 0.624 0.607
0.694 0.208 0.889
0.208 0.694 0.889
0.208 0.208 0.889
0.306 0.792 0.111
0.792 0.306 0.111
0.792 0.792 0.111
```

space group = No. 166
electronic total energy = -72.8 eV/f.u.

Record 14
DFT (GGA-PBE) results for a geometry-optimized NiPPd3 structure.

```
NiPPd3
1.0
-1.180 -3.886 2.017
4.151 -0.328 1.796
-1.393 2.314 3.642
Ni Pd P
1 3 1
direct
0.000 0.000 0.000
0.000 0.500 0.000
0.000 0.000 0.500
0.500 0.000 0.000
0.500 0.500 0.500
```

space group = No. 221
relative energy among the computed polymorphs = 767 meV/atom
formation enthalpy at 0 K = 479 kJ/mol of formula units

Record 15
DFT (GGA-PBE) results for a geometry-optimized ScTe3Mo structure.

```
ScTe3Mo
1.0
-3.875 3.429 1.259
-2.118 -3.605 3.298
2.975 1.899 3.987
Sc Mo Te
1 1 3
direct
0.500 0.500 0.500
0.000 0.000 0.000
0.000 0.500 0.000
0.000 0.000 0.500
0.500 0.000 0.000
```

space group = No. 221
relative energy among the computed polymorphs = 0 meV/atom

Record 16
DFT (GGA-PBE) results for a geometry-optimized AcCeNbO6 structure.

```
AcCeNbO6
1.0
-1.125 -5.571 -0.683
4.825 1.647 2.603
-4.878 -0.135 9.126
Ac Ce Nb O
2 2 2 12
direct
0.000 0.000 0.000
0.000 0.000 0.500
0.333 0.667 0.250
0.667 0.333 0.750
0.667 0.333 0.250
0.333 0.667 0.750
0.650 0.621 0.143
0.971 0.350 0.143
0.350 0.971 0.643
0.029 0.650 0.857
0.379 0.350 0.357
0.971 0.621 0.357
0.621 0.971 0.857
0.650 0.029 0.357
0.029 0.379 0.643
0.379 0.029 0.143
0.621 0.650 0.643
0.350 0.379 0.857
```

space group = No. 163
electronic total energy = -77.9 eV/f.u.

Record 17
DFT (GGA-PBE) results for a geometry-optimized NbZnTcNi structure.

```
NbZnTcNi
1.0
4.348 0.000 0.000
2.174 3.766 0.000
2.174 1.255 3.550
Zn Nb Tc Ni
1 1 1 1
direct
0.250 0.250 0.250
0.750 0.750 0.750
0.500 0.500 0.500
0.000 0.000 0.000
```

space group = No. 216
formation enthalpy at 0 K = -32 kJ/mol of formula units

Record 18
DFT (GGA-PBE) results for a geometry-optimized SrAcH6Rh2 structure.

```
SrAcH6Rh2
1.0
-0.360 2.917 4.305
-4.672 1.013 2.078
-1.294 -3.063 5.123
Sr Ac H Rh
1 1 6 2
direct
0.500 0.500 0.500
0.000 0.000 0.000
0.008 0.581 0.830
0.581 0.008 0.830
0.419 0.419 0.170
0.992 0.419 0.170
0.419 0.992 0.170
0.581 0.581 0.830
0.788 0.788 0.637
0.212 0.212 0.363
```

space group = No. 166
electronic total energy = -44.0 eV/f.u.

Record 19
DFT (GGA-PBE) results for a geometry-optimized DyReC2 structure.

```
DyReC2
1.0
-1.850 0.877 2.653
-2.695 -4.943 -0.246
7.390 -4.357 6.593
Dy Re C
4 4 8
direct
0.750 0.099 0.132
0.250 0.901 0.868
0.750 0.599 0.368
0.250 0.401 0.632
0.250 0.604 0.118
0.250 0.104 0.382
0.750 0.396 0.882
0.750 0.896 0.618
0.750 0.218 0.482
0.250 0.782 0.518
0.750 0.718 0.018
0.250 0.282 0.982
0.750 0.152 0.753
0.250 0.348 0.253
0.750 0.652 0.747
0.250 0.848 0.247
```

space group = No. 62
relative energy among the computed polymorphs = 0 meV/atom
formation enthalpy at 0 K = -71 kJ/mol of formula units

Record 20
DFT (GGA-PBE) results for a geometry-optimized K3La3ScSe8 structure.

```
K3La3ScSe8
1.0
8.673 0.000 0.000
-4.336 7.520 -0.030
0.000 -4.986 7.787
K La Sc Se
3 3 1 8
direct
0.000 0.000 0.000
0.000 0.500 0.000
0.500 0.500 0.000
0.500 0.000 0.500
0.500 0.500 0.500
0.000 0.500 0.500
0.000 0.000 0.500
0.262 0.524 0.285
0.738 0.476 0.715
0.780 0.561 0.304
0.220 0.439 0.696
0.780 0.023 0.303
0.220 0.977 0.697
0.243 0.023 0.303
0.757 0.977 0.697
```

space group = No. 12
electronic total energy = -77.4 eV/f.u.

no.,D(E_F) (states/eV/atom),total magnetic moment (μB/cell)
1,0.174,0.0
2,0.406,0.0
3,0.803,0.0
4,1.611,4.3
5,0.394,16.0
6,0.902,0.0
7,0.542,0.0
8,1.037,0.0
9,0.496,0.4
10,0.827,3.1
11,0.534,2.1
12,0.424,0.0
13,0.167,2.0
14,1.839,1.3
15,1.021,2.6
16,0.000,0.0
17,0.348,0.0
18,0.237,0.0
19,0.184,0.0
20,1.050,0.0